# CrCoPb2

Crystalline CrCoPb2 at its relaxed geometry (GGA-PBE, the Alexandria database).

Computed properties:
* polymorph energy (0 for the lowest one): 0.235 eV per atom
* DFT formation energy: 0.631 eV/atom

a = 6.7818 Å, b = 6.7818 Å, c = 6.7818 Å
α = 90.00°, β = 90.00°, γ = 90.00°
Space group Fm-3m (No. 225)
Inequivalent atoms, fractional coordinates:
Cr: 0.0000 0.0000 0.0000 (multiplicity 4)
Co: 0.0000 0.0000 0.5000 (multiplicity 4)
Pb: 0.2500 0.2500 0.2500 (multiplicity 8)

***

# CrCoPb2

Crystalline CrCoPb2 at its relaxed geometry (GGA-PBE, the Alexandria database).

Computed properties:
* polymorph energy (0 for the lowest one): 0.161 eV per atom
* DFT formation energy: 0.557 eV/atom

a = 3.2027 Å, b = 4.4233 Å, c = 11.6261 Å
α = 90.00°, β = 90.00°, γ = 90.00°
Space group Imm2 (No. 44)
Inequivalent atoms, fractional coordinates:
Cr: 0.0000 0.0000 0.0000 (multiplicity 2)
Co: 0.0000 0.5000 0.6727 (multiplicity 2)
Pb: 0.0000 0.0000 0.3943 (multiplicity 2)
Pb: 0.0000 0.5000 0.1744 (multiplicity 2)

***

# CrCoPb2

Crystalline CrCoPb2 at its relaxed geometry (GGA-PBE, the Alexandria database).

Computed properties:
* polymorph energy (0 for the lowest one): 0.000 eV per atom
* DFT formation energy: 0.397 eV/atom

a = 3.1803 Å, b = 3.1803 Å, c = 8.3314 Å
α = 90.00°, β = 90.00°, γ = 90.00°
Space group P4mm (No. 99)
Inequivalent atoms, fractional coordinates:
Cr: 0.0000 0.0000 0.0000 (multiplicity 1)
Co: 0.5000 0.5000 0.8736 (multiplicity 1)
Pb: 0.0000 0.0000 0.6424 (multiplicity 1)
Pb: 0.5000 0.5000 0.2418 (multiplicity 1)

***

# CrCoPb2

Crystalline CrCoPb2 at its relaxed geometry (GGA-PBE, the Alexandria database).

Computed properties:
* polymorph energy (0 for the lowest one): 0.283 eV per atom
* DFT formation energy: 0.680 eV/atom

a = 4.0689 Å, b = 4.0689 Å, c = 9.6330 Å
α = 90.00°, β = 90.00°, γ = 90.00°
Space group I-4m2 (No. 119)
Inequivalent atoms, fractional coordinates:
Cr: 0.0000 0.0000 0.0000 (multiplicity 2)
Co: 0.0000 0.5000 0.2500 (multiplicity 2)
Pb: 0.0000 0.0000 0.5000 (multiplicity 2)
Pb: 0.0000 0.5000 0.7500 (multiplicity 2)

***

# CrCoPb2

Crystalline CrCoPb2 at its relaxed geometry (GGA-PBE, the Alexandria database).

Computed properties:
* polymorph energy (0 for the lowest one): 0.208 eV per atom
* DFT formation energy: 0.604 eV/atom

a = 3.3889 Å, b = 3.3889 Å, c = 7.1522 Å
α = 90.00°, β = 90.00°, γ = 90.00°
Space group P4/mmm (No. 123)
Inequivalent atoms, fractional coordinates:
Cr: 0.0000 0.0000 0.0000 (multiplicity 1)
Co: 0.0000 0.0000 0.5000 (multiplicity 1)
Pb: 0.5000 0.5000 0.2714 (multiplicity 2)

***

# CrCoPb2

Crystalline CrCoPb2 at its relaxed geometry (GGA-PBE, the Alexandria database).

Computed properties:
* polymorph energy (0 for the lowest one): 0.224 eV per atom
* DFT formation energy: 0.620 eV/atom

a = 3.2126 Å, b = 3.2126 Å, c = 28.4501 Å
α = 90.00°, β = 90.00°, γ = 120.00°
Space group R3m (No. 160, hexagonal axes)
Inequivalent atoms, fractional coordinates:
Cr: 0.0000 0.0000 0.0000 (multiplicity 3)
Co: 0.0000 0.0000 0.7206 (multiplicity 3)
Pb: 0.0000 0.0000 0.2477 (multiplicity 3)
Pb: 0.0000 0.0000 0.4639 (multiplicity 3)